4
Lattice="0.000 3.624 3.624 3.624 0.000 3.624 3.624 3.624 0.000" Properties=species:S:1:pos:R:3 comment="CaEuZn2 (SCAN, single point on PBEsol structure)" ef_ev_per_atom=-0.29 energy_ev_per_cell=-91.57 dos_at_fermi_per_ev_fu=3.27 pbc="T T T"
Ca 0.000 0.000 0.000
Eu 3.624 3.624 3.624
Zn 1.812 1.812 1.812
Zn 5.436 5.436 5.436